[1]
Entry from the Open Quantum Materials Database: a relaxed structure of La2Mo2Os3 (GGA-PBE).

Calculated values
Magnetic moment = 0.0 Bohr magnetons per cell
Symmetry = R3m (160)
Formation enthalpy at 0 K = 540 meV per atom
V = 141 Å³ per cell

Cell: 7.7652 7.7652 7.7652 Å, 35.50 35.50 35.50°
Atoms (fractional coordinates):
La (0.0000, 0.0000, 0.0000)
La (0.4800, 0.4800, 0.4800)
Mo (0.2372, 0.2372, 0.2372)
Mo (0.7408, 0.7408, 0.7408)
Os (0.3534, 0.3534, 0.3534)
Os (0.6089, 0.6089, 0.6089)
Os (0.8605, 0.8605, 0.8605)

=====

[2]
Entry from the Open Quantum Materials Database: a relaxed structure of GdZrPd2 (GGA-PBE).

Calculated values
Magnetic moment = 0.0 Bohr magnetons per cell
Symmetry = Amm2 (38)
Formation enthalpy at 0 K = -732 meV per atom
V = 83 Å³ per cell

Cell: 4.5388 5.5040 5.5040 Å, 37.32 90.00 90.00°
Atoms (fractional coordinates):
Gd (0.0000, 0.0000, 0.0000)
Zr (0.5000, 0.2800, 0.2800)
Pd (0.0000, 0.7319, 0.7319)
Pd (0.5000, 0.5564, 0.5564)